A relaxed structure of Sn2TeRh2, computed with PBE-GGA.

Unit cell a=8.1378 b=8.1378 c=3.0552 alpha=90.00 beta=90.00 gamma=90.00
Positions (direct):
Sn 0.1531 0.3469 0.0000
Sn 0.3469 0.8469 0.0000
Sn 0.6531 0.1531 0.0000
Sn 0.8469 0.6531 0.0000
Te 0.0000 0.0000 0.0000
Te 0.5000 0.5000 0.0000
Rh 0.1345 0.6345 0.5000
Rh 0.3655 0.1345 0.5000
Rh 0.6345 0.8655 0.5000
Rh 0.8655 0.3655 0.5000

Properties
- Distance to the lowest polymorph of the same formula: 205 meV per atom
- Electronic total energy: -5.213 eV per atom
- Symmetry: P4/mbm
- Fermi-level density of states: 0.472 states/eV per atom
- Formation energy (no corrections): -0.2 eV per formula unit